No. 1
The following is a PBE calculation of an optimized crystal structure of Li2PaCuO5, from Alexandria.

Lattice parameters (Å, degrees): 3.513 5.391 10.170 90.00 90.00 90.00
Space group Immm (No. 71)
Symmetry-distinct sites (fractional):
Li1 0.000 0.000 0.209
Pa1 0.000 0.500 0.000
Cu1 0.000 0.500 0.500
O1 0.000 0.000 0.000
O2 0.000 0.210 0.376

Values from the calculation:
As for the raw total energy: -0.48189 Ry per atom. The calculated volume is 10.7 Å³/atom. The size of the total moment is 1.02 Bohr magnetons per cell.


No. 2
The following is a PBE calculation of an optimized crystal structure of Li3PaCu4O12, from Alexandria.

Lattice parameters (Å, degrees): 7.342 7.342 7.342 90.00 90.00 90.00
Space group Im-3 (No. 204)
Symmetry-distinct sites (fractional):
Li1 0.000 0.000 0.500
Pa1 0.000 0.000 0.000
Cu1 0.250 0.250 0.250
O1 0.000 0.174 0.284

Values from the calculation:
As for the raw total energy: -0.41955 Ry per atom. The calculated volume is 9.9 Å³/atom. The size of the total moment is 0.00 Bohr magnetons per cell.